(1)
This record from Alexandria describes a geometry-optimized Sc2AuCl structure. The functional is PBE.

a b c (Å): 3.8591 3.8591 5.6098
angles (deg): 90.00 90.00 90.00
With the nearest neighbours (Å) after each atom.
Fractional coordinates of all 4 atoms:
Au: 0.0000 0.0000 0.3752  6 Sc 2.73-2.81
Sc: 0.0000 0.0000 0.8749  4 Cl 2.73, 2 Au 2.80-2.81
Sc: 0.5000 0.5000 0.3745  4 Au 2.73, 2 Cl 2.80-2.81
Cl: 0.5000 0.5000 0.8753  6 Sc 2.73-2.81

Computed properties:
- total moment (μB per formula unit) = 0.00
- formation energy (no corrections) (eV per atom) = -0.895
- total DFT energy (no corrections) (hartree per atom) = -0.196

(2)
This record from Alexandria describes a geometry-optimized VGa3Bi structure. The functional is PBE.

a b c (Å): 4.8738 4.8738 4.8738
angles (deg): 90.00 90.00 90.00
With the nearest neighbours (Å) after each atom.
Fractional coordinates of all 5 atoms:
Ga: 0.0000 0.5000 0.0000  2 V 2.44
Ga: 0.0000 0.0000 0.5000  2 V 2.44
Ga: 0.5000 0.0000 0.0000  2 V 2.44
Bi: 0.5000 0.5000 0.5000  12 Ga 3.45
V: 0.0000 0.0000 0.0000  6 Ga 2.44

Computed properties:
- total moment (μB per formula unit) = 0.07
- energy relative to the elements (eV/f.u.) = 2.1
- total DFT energy (no corrections) (hartree per atom) = -0.147

(3)
This record from Alexandria describes a geometry-optimized Th4RuC2Se structure. The functional is PBE.

a b c (Å): 3.7891 6.9308 7.0445
angles (deg): 106.45 90.00 90.00
With the nearest neighbours (Å) after each atom.
Fractional coordinates of all 8 atoms:
C: 0.0000 0.5000 0.5000  6 Th 2.62-2.63
Th: 0.0000 0.7596 0.2917  3 C 2.62-2.67
C: 0.5000 0.0000 0.5000  6 Th 2.67-2.84
Th: 0.0000 0.2404 0.7083  3 C 2.62-2.67
Th: 0.5000 0.7159 0.7216  3 C 2.63-2.84, 1 Ru 2.78
Se: 0.0000 0.0000 0.0000  6 Th 2.99-3.02
Th: 0.5000 0.2841 0.2784  3 C 2.63-2.84, 1 Ru 2.78
Ru: 0.5000 0.5000 0.0000  6 Th 2.78-2.99

Computed properties:
- total moment (μB per formula unit) = 0.00
- formation energy (no corrections) (eV per atom) = -0.616
- total DFT energy (no corrections) (hartree per atom) = -0.302

(4)
This record from Alexandria describes a geometry-optimized PmThBiPb structure. The functional is PBE.

a b c (Å): 5.5775 5.5775 5.5775
angles (deg): 60.00 60.00 60.00
With the nearest neighbours (Å) after each atom.
Fractional coordinates of all 4 atoms:
Th: 0.0000 0.0000 0.0000  4 Bi 3.42, 4 Pb 3.42
Bi: 0.7500 0.7500 0.7500  4 Pm 3.42, 4 Th 3.42
Pb: 0.2500 0.2500 0.2500  4 Th 3.42, 4 Pm 3.42
Pm: 0.5000 0.5000 0.5000  4 Pb 3.42, 4 Bi 3.42

Computed properties:
- total moment (μB per formula unit) = 0.00
- energy relative to the elements (eV/f.u.) = -1.7
- total DFT energy (no corrections) (hartree per atom) = -0.197

(5)
This record from Alexandria describes a geometry-optimized KTiI6 structure. The functional is PBE.

a b c (Å): 7.8602 6.7079 9.0900
angles (deg): 50.59 65.12 68.12
With the nearest neighbours (Å) after each atom.
Fractional coordinates of all 8 atoms:
I: 0.2228 0.1066 0.1009  1 Ti 2.74
I: 0.3217 0.8878 0.7664  1 Ti 2.75
Ti: 0.0000 0.0000 0.0000  6 I 2.74-2.79
K: 0.5000 0.5000 0.5000  6 I 3.67-3.97
I: 0.9590 0.5241 0.6853  1 Ti 2.79
I: 0.7772 0.8934 0.8991  1 Ti 2.74
I: 0.6783 0.1122 0.2336  1 Ti 2.75
I: 0.0410 0.4759 0.3147  1 Ti 2.79

Computed properties:
- total moment (μB per formula unit) = 0.00
- formation energy (no corrections) (eV per atom) = -0.734
- total DFT energy (no corrections) (hartree per atom) = -0.111

(6)
This record from Alexandria describes a geometry-optimized Pu2MgRu4 structure. The functional is PBE.

a b c (Å): 4.8564 4.8564 6.5431
angles (deg): 111.78 111.78 90.00
With the nearest neighbours (Å) after each atom.
Fractional coordinates of all 7 atoms:
Ru: 0.7500 0.2500 0.5000  4 Pu 2.68, 2 Ru 2.78
Pu: 0.3526 0.3526 0.7052  8 Ru 2.68-2.93
Ru: 0.2500 0.7500 0.5000  4 Pu 2.68, 2 Ru 2.78
Ru: 0.0000 0.5000 0.0000  2 Mg 2.43
Ru: 0.5000 0.0000 0.0000  2 Mg 2.43
Pu: 0.6474 0.6474 0.2948  8 Ru 2.68-2.93
Mg: 0.0000 0.0000 0.0000  4 Ru 2.43

Computed properties:
- total moment (μB per formula unit) = 6.19
- energy relative to the elements (eV/f.u.) = 2.6
- total DFT energy (no corrections) (hartree per atom) = -0.340

(7)
This record from Alexandria describes a geometry-optimized SrRe2Sb structure. The functional is PBE.

a b c (Å): 5.3150 2.8577 5.6608
angles (deg): 89.95 90.00 90.00
With the nearest neighbours (Å) after each atom.
Fractional coordinates of all 4 atoms:
Sb: 0.5000 0.2500 0.2500  2 Sb 2.86, 4 Re 2.91, 4 Sr 3.17
Re: 0.0000 0.3355 0.4567  1 Re 2.39
Sr: 0.5000 0.7500 0.7500  2 Sr 2.86, 4 Sb 3.17
Re: 0.0000 0.1645 0.0433  1 Re 2.39

Computed properties:
- total moment (μB per formula unit) = 0.00
- formation energy (no corrections) (eV per atom) = 0.846
- total DFT energy (no corrections) (hartree per atom) = -0.251

(8)
This record from Alexandria describes a geometry-optimized TaMnMoPt structure. The functional is PBE.

a b c (Å): 4.4645 4.4645 4.4645
angles (deg): 60.00 60.00 60.00
With the nearest neighbours (Å) after each atom.
Fractional coordinates of all 4 atoms:
Mn: 0.0000 0.0000 0.0000  4 Pt 2.73, 4 Mo 2.73
Ta: 0.5000 0.5000 0.5000  4 Mo 2.73, 4 Pt 2.73
Pt: 0.2500 0.2500 0.2500  4 Ta 2.73, 4 Mn 2.73
Mo: 0.7500 0.7500 0.7500  4 Ta 2.73, 4 Mn 2.73

Computed properties:
- total moment (μB per formula unit) = 3.57
- energy relative to the elements (eV/f.u.) = -0.7
- total DFT energy (no corrections) (hartree per atom) = -0.355